Computed, not measured: a geometry-optimized Rb2NiHF6 structure at the PBE+U level of DFT.

Final energy   -3.755 eV per atom

a b c (Å): 5.3227 5.3227 6.1412
angles (deg): 64.32 64.32 90.00
Fractional coordinates of all 10 atoms:
1 Ni 0.0000 0.0000 0.0000
2 H 0.5000 0.5000 0.0000
3 Rb 0.7500 0.2500 0.5000
4 Rb 0.2500 0.7500 0.5000
5 F 0.1864 0.1864 0.6273
6 F 0.8136 0.8136 0.3727
7 F 0.2683 0.2683 0.0000
8 F 0.7317 0.7317 0.0000
9 F 0.7317 0.2683 0.0000
10 F 0.2683 0.7317 0.0000